Entry 1:
First-principles (PBE) data for a geometry-optimized Zr4TlCoC2 structure, as listed in OQMD via LeMat-Bulk.

The total energy is -65.84 eV for the cell shown.

It has space group P-6m2 (No. 187), with a = 3.3450 Å, b = 3.3450 Å, c = 14.1319 Å, α = 90.00°, β = 90.00° and γ = 120.00°. The distinct sites, in fractional coordinates, are Zr at (0.0000, 0.0000, 0.1347), Zr at (0.3333, 0.6667, 0.3179), Tl at (0.0000, 0.0000, 0.5000), Co at (0.3333, 0.6667, 0.0000) and C at (0.6667, 0.3333, 0.2329).

Entry 2:
First-principles (PBE) data for a geometry-optimized GdDy2Tm structure, as listed in OQMD via LeMat-Bulk.

The energy of formation from the pure elements is 8 meV per atom.

It has space group Amm2 (No. 38), with a = 5.6262 Å, b = 7.2010 Å, c = 12.4688 Å, α = 90.00°, β = 90.00° and γ = 90.00°. The distinct sites, in fractional coordinates, are Gd at (0.0000, 0.0000, 0.0000), Gd at (0.5000, 0.0000, 0.3332), Dy at (0.0000, 0.0000, 0.5008), Dy at (0.5000, 0.0000, 0.8325), Dy at (0.5000, 0.2489, 0.5836) and Tm at (0.0000, 0.2488, 0.7494).

Entry 3:
First-principles (PBE) data for a geometry-optimized ThB4Os structure, as listed in OQMD via LeMat-Bulk.

Its relative energy among the computed polymorphs is 0.00 eV/f.u.

It has space group P6/mmm (No. 191), with a = 3.2776 Å, b = 3.2776 Å, c = 6.9700 Å, α = 90.00°, β = 90.00° and γ = 120.00°. The distinct sites, in fractional coordinates, are Th at (0.0000, 0.0000, 0.0000), B at (0.3333, 0.6667, 0.2948) and Os at (0.0000, 0.0000, 0.5000).

Entry 4:
First-principles (PBE) data for a geometry-optimized ScZn structure, as listed in OQMD via LeMat-Bulk.

The energy of formation from the pure elements is -187 meV per atom.

It has space group Pmc2_1 (No. 26), with a = 4.4247 Å, b = 9.7908 Å, c = 5.2987 Å, α = 90.00°, β = 90.00° and γ = 90.00°. The distinct sites, in fractional coordinates, are Sc at (0.0000, 0.0876, 0.0000), Sc at (0.0000, 0.4028, 0.8575), Sc at (0.5000, 0.1343, 0.5568), Zn at (0.0000, 0.2878, 0.3782), Zn at (0.5000, 0.2749, 0.0728) and Zn at (0.5000, 0.4313, 0.4934).

Entry 5:
First-principles (PBE) data for a geometry-optimized NaAs5W3 structure, as listed in OQMD via LeMat-Bulk.

The total energy is -62.40 eV for the cell shown.

It has space group P6/mmm (No. 191), with a = 5.4243 Å, b = 5.4243 Å, c = 7.9121 Å, α = 90.00°, β = 90.00° and γ = 120.00°. The distinct sites, in fractional coordinates, are Na at (0.0000, 0.0000, 0.0000), As at (0.0000, 0.0000, 0.5000), As at (0.3333, 0.6667, 0.2289) and W at (0.0000, 0.5000, 0.5000).

Entry 6:
First-principles (PBE) data for a geometry-optimized SmHoBr2NCl structure, as listed in OQMD via LeMat-Bulk.

Its relative energy among the computed polymorphs is 0.00 eV/f.u.

It has space group C2/m (No. 12), with a = 17.4079 Å, b = 3.9180 Å, c = 11.2353 Å, α = 90.00°, β = 122.23° and γ = 90.00°. The distinct sites, in fractional coordinates, are Sm at (0.1338, 0.0000, 0.2867), Ho at (0.0793, 0.5000, 0.9602), Br at (0.0503, 0.0000, 0.7497), Br at (0.1640, 0.5000, 0.5195), N at (0.0713, 0.5000, 0.1518) and Cl at (0.2059, 0.0000, 0.1073).

Entry 7:
First-principles (PBE) data for a geometry-optimized Cu2Te structure, as listed in OQMD via LeMat-Bulk.

The total energy is -169.62 eV for the cell shown.

It has space group P-3m1 (No. 164), with a = 8.4872 Å, b = 8.4872 Å, c = 31.5949 Å, α = 90.00°, β = 90.00° and γ = 120.00°. The distinct sites, in fractional coordinates, are Cu at (0.0000, 0.0000, 0.0768), Cu at (0.0000, 0.0000, 0.1531), Cu at (0.0108, 0.5054, 0.8437), Cu at (0.0299, 0.5150, 0.0761), Cu at (0.1738, 0.3477, 0.1276), Cu at (0.1744, 0.3487, 0.8947), Cu at (0.3333, 0.6667, 0.0225), Cu at (0.3333, 0.6667, 0.8258), Te at (0.1596, 0.3192, 0.8107), Te at (0.1608, 0.3217, 0.0445), Te at (0.3333, 0.6667, 0.1726) and Te at (0.3333, 0.6667, 0.9390).

Entry 8:
First-principles (PBE) data for a geometry-optimized Ta11Co2Se8 structure, as listed in OQMD via LeMat-Bulk.

The total energy is -368.84 eV for the cell shown.

It has space group Pnnm (No. 58), with a = 12.1516 Å, b = 19.5892 Å, c = 3.4245 Å, α = 90.00°, β = 90.00° and γ = 90.00°. The distinct sites, in fractional coordinates, are Ta at (0.0000, 0.0000, 0.0000), Ta at (0.0511, 0.2430, 0.0000), Ta at (0.0601, 0.1161, 0.5000), Ta at (0.1551, 0.7884, 0.5000), Ta at (0.1713, 0.3542, 0.5000), Ta at (0.1811, 0.9476, 0.5000), Co at (0.0954, 0.8721, 0.0000), Se at (0.0437, 0.6737, 0.5000), Se at (0.1079, 0.4473, 0.0000), Se at (0.2053, 0.0561, 0.0000) and Se at (0.2142, 0.2150, 0.5000).

Entry 9:
First-principles (PBE) data for a geometry-optimized UBeNb structure, as listed in OQMD via LeMat-Bulk.

Its relative energy among the computed polymorphs is 2.00 eV/f.u.

It has space group F-43m (No. 216), with a = 6.1355 Å, b = 6.1355 Å, c = 6.1355 Å, α = 90.00°, β = 90.00° and γ = 90.00°. The distinct sites, in fractional coordinates, are U at (0.0000, 0.0000, 0.0000), Be at (0.2500, 0.2500, 0.7500) and Nb at (0.2500, 0.2500, 0.2500).

Entry 10:
First-principles (PBE) data for a geometry-optimized MgPaCd structure, as listed in OQMD via LeMat-Bulk.

Its relative energy among the computed polymorphs is 0.75 eV/f.u.

It has space group F-43m (No. 216), with a = 7.1427 Å, b = 7.1427 Å, c = 7.1427 Å, α = 90.00°, β = 90.00° and γ = 90.00°. The distinct sites, in fractional coordinates, are Mg at (0.0000, 0.0000, 0.0000), Pa at (0.2500, 0.2500, 0.7500) and Cd at (0.0000, 0.0000, 0.5000).